5
Lattice="-3.490 -2.476 2.520 3.509 -2.841 2.068 0.411 3.234 3.746" Properties=species:S:1:pos:R:3 comment="SCAN NaCdGe3, single point on PBEsol structure" e_tot_ev_per_atom=-17.34 density_g_cm3=4.8 spacegroup="No. 221" pbc="T T T"
Na 0.000 0.000 0.000
Cd 0.215 -1.042 4.167
Ge -1.745 -1.238 1.260
Ge 1.755 -1.421 1.034
Ge 0.206 1.617 1.873

***

5
Lattice="-0.861 -3.271 3.598 0.662 -3.699 -3.205 4.880 -0.078 1.097" Properties=species:S:1:pos:R:3 comment="SCAN NbCd2GeSb, single point on PBEsol structure" raw_formation_energy_ev_per_atom=0.607 density_g_cm3=7.0 spacegroup="No. 123" pbc="T T T"
Cd 0.331 -1.849 -1.602
Cd -0.431 -1.636 1.799
Ge 0.000 0.000 0.000
Sb 2.340 -3.524 0.745
Nb 2.440 -0.039 0.549

***

23
Lattice="-2.378 0.329 -5.182 -7.754 -5.644 3.201 -0.398 10.069 0.822" Properties=species:S:1:pos:R:3 comment="SCAN Nd6CdGe2S14, single point on PBEsol structure" raw_formation_energy_ev_per_atom=-1.749 density_g_cm3=5.2 spacegroup="No. 143" pbc="T T T"
Ge -0.791 0.109 -1.723
Ge -4.811 5.103 -2.657
S -7.030 5.349 -2.618
S -1.890 2.019 -2.074
S -2.260 0.313 -4.924
S -4.460 3.299 -3.927
S -6.372 2.026 -1.523
S -4.069 6.816 -3.884
S -2.676 8.563 -1.298
S -7.464 4.394 0.635
S -7.266 1.329 1.923
S -9.076 -0.686 -0.454
S -3.829 0.213 0.274
S -6.507 -2.525 1.330
S -3.904 4.977 -0.681
S -5.646 -1.840 -2.102
Nd -4.991 2.713 0.925
Nd -7.983 -3.199 -1.256
Nd -4.258 0.575 -2.727
Nd -4.350 7.445 0.931
Nd -0.952 4.578 -0.810
Nd -9.013 2.145 -0.445
Cd -6.462 -0.246 -0.119

***

16
Lattice="-4.204 3.220 -0.705 1.097 -2.383 -4.903 -2.722 -5.024 3.927" Properties=species:S:1:pos:R:3 comment="SCAN CdGe2O5, single point on PBEsol structure" raw_formation_energy_ev_per_atom=-1.683 density_g_cm3=6.2 spacegroup="No. 2" pbc="T T T"
O -0.025 -3.235 -3.717
O -1.478 0.487 -1.155
O -3.395 -1.216 -2.108
O -1.899 -5.832 0.108
O -3.973 -0.103 0.494
O -5.804 -0.953 2.036
O -4.350 -4.675 -0.526
O -2.434 -2.972 0.427
O -3.930 1.644 -1.789
O -1.855 -4.085 -2.175
Cd -4.528 -2.479 1.048
Cd -1.301 -1.709 -2.729
Ge 0.000 0.000 0.000
Ge -1.361 -2.512 1.963
Ge -3.217 0.194 -1.066
Ge -2.611 -4.382 -0.615

***

80
Lattice="-1.814 2.746 -5.970 -8.667 -5.524 0.093 -7.016 11.131 7.253" Properties=species:S:1:pos:R:3 comment="SCAN Cd5GeP2O12, single point on PBEsol structure" raw_formation_energy_ev_per_atom=-1.872 density_g_cm3=5.6 spacegroup="No. 19" pbc="T T T"
O -10.241 1.630 0.218
O -4.518 4.873 3.491
O -11.501 8.834 0.413
O -10.553 6.450 1.755
O -10.563 8.157 4.700
O -10.005 0.492 -3.337
O -7.557 11.280 1.417
O -7.520 4.999 -1.884
O -13.527 2.522 4.631
O -10.617 -1.860 1.843
O -5.714 -0.002 -0.441
O -7.373 -0.670 -3.237
O -4.660 4.706 0.965
O -9.660 5.053 3.544
O -11.311 3.983 1.908
O -7.185 2.219 -4.054
O -12.182 5.640 3.585
O -9.776 4.602 -0.977
O -12.129 10.677 2.985
O -3.305 -0.135 0.412
O -8.271 -3.359 -0.348
O -15.481 7.514 4.392
O -7.797 4.957 0.634
O -0.930 0.279 -1.309
O -13.266 8.506 2.736
O -7.695 2.148 -1.205
O -7.874 1.752 1.569
O -5.938 6.561 2.246
O -5.116 3.473 -1.959
O -2.748 3.182 -3.857
O -12.161 1.149 2.051
O -14.146 5.790 5.686
O -8.638 -0.534 -0.294
O -3.839 1.101 -2.468
O -2.272 3.204 -1.089
O -9.199 10.252 3.088
O -8.091 8.746 1.408
O -8.534 8.817 6.401
O -11.180 2.607 -2.657
O -7.200 -0.636 -5.766
O -8.816 6.882 -0.663
O -13.810 3.616 0.338
O -7.710 7.130 4.403
O -13.532 6.639 0.601
O -4.717 1.830 1.094
O -12.381 5.160 -1.400
O -12.064 0.376 -1.769
O -6.641 9.898 3.206
Cd -1.705 1.705 0.494
Cd -8.140 6.476 2.287
Cd -5.592 5.500 -2.829
Cd -3.428 1.080 -4.739
Cd -6.093 1.071 -2.400
Cd -6.220 3.346 0.137
Cd -14.274 6.545 2.729
Cd -11.953 6.144 5.858
Cd -11.575 3.249 -0.387
Cd -6.989 -1.814 0.563
Cd -8.838 3.280 -2.782
Cd -9.251 -1.502 -2.373
Cd -10.052 2.033 2.483
Cd -9.941 10.345 5.394
Cd -11.221 -0.401 0.184
Cd -11.121 6.766 -0.441
Cd -6.561 9.272 5.407
Cd -7.571 8.719 -0.873
Cd -10.929 8.608 2.580
Cd -13.523 3.115 2.458
Ge -13.854 5.231 -0.396
Ge -8.524 1.189 0.017
Ge -9.106 7.442 5.418
Ge -3.510 2.845 -2.289
P -11.390 1.090 -2.964
P -15.362 6.755 5.746
P -10.949 5.269 2.716
P -4.669 5.684 2.172
P -8.456 5.372 -0.714
P -4.764 0.318 0.737
P -7.892 10.029 2.262
P -6.508 -1.104 -4.453

***

5
Lattice="3.960 0.000 0.000 0.000 5.528 0.000 0.000 0.000 5.528" Properties=species:S:1:pos:R:3 comment="SCAN Cd2GeSbO, single point on PBEsol structure" raw_formation_energy_ev_per_atom=0.258 density_g_cm3=6.0 spacegroup="No. 123" pbc="T T T"
Sb 0.000 0.000 0.000
O 1.980 0.000 0.000
Ge 1.980 2.764 2.764
Cd 0.000 0.000 2.764
Cd 0.000 2.764 0.000

***

5
Lattice="4.798 0.000 0.000 0.000 4.798 0.000 0.000 0.000 5.521" Properties=species:S:1:pos:R:3 comment="SCAN Cd2GeTeOs, single point on PBEsol structure" raw_formation_energy_ev_per_atom=1.452 density_g_cm3=8.0 spacegroup="No. 123" pbc="T T T"
Cd 2.399 0.000 0.000
Cd 0.000 2.399 0.000
Ge 0.000 0.000 0.000
Te 0.000 0.000 2.761
Os 2.399 2.399 2.761

***

5
Lattice="-1.849 -1.548 -2.878 0.461 -3.398 1.530 -5.119 3.191 4.023" Properties=species:S:1:pos:R:3 comment="SCAN CdGe2P2, single point on PBEsol structure" e_tot_ev_per_atom=-17.40 density_g_cm3=5.6 spacegroup="No. 139" pbc="T T T"
Cd 0.000 0.000 0.000
P -2.676 -1.339 2.440
P -3.831 -0.414 0.235
Ge -4.488 0.555 2.585
Ge -2.019 -2.309 0.090

***

5
Lattice="-2.999 2.219 -2.786 2.787 -1.368 -4.089 -2.767 -4.301 -0.447" Properties=species:S:1:pos:R:3 comment="SCAN Ta2CdGePb, single point on PBEsol structure" e_tot_ev_per_atom=-49.80 density_g_cm3=10.2 spacegroup="No. 123" pbc="T T T"
Pb -1.490 -1.725 -3.661
Ta -1.383 -2.151 -0.223
Ta 1.393 -0.684 -2.045
Cd 0.000 0.000 0.000
Ge -1.500 1.109 -1.393

***

5
Lattice="4.964 0.000 0.000 0.000 4.964 0.000 0.000 0.000 4.964" Properties=species:S:1:pos:R:3 comment="SCAN Cd3GePd, single point on PBEsol structure" e_tot_ev_per_atom=-28.02 density_g_cm3=7.0 spacegroup="No. 221" pbc="T T T"
Pd 2.482 2.482 2.482
Cd 0.000 2.482 0.000
Cd 2.482 0.000 0.000
Cd 0.000 0.000 2.482
Ge 0.000 0.000 0.000